No. 1
Material: Rb2ZrRhCl6
Method: DFT, PBE-GGA
State: optimized geometry

a b c (Å): 7.8870 7.8870 9.0939
angles (deg): 90.00 90.00 90.00
Last column: nearest neighbours and their distance in Å.
Space group I4/mmm (No. 139)
Asymmetric unit:
Rb 0.0000 0.5000 0.2500 (multiplicity 4)  12 Cl 3.61-3.94
Zr 0.0000 0.0000 0.0000 (multiplicity 2)  6 Cl 2.35-2.56
Rh 0.0000 0.0000 0.5000 (multiplicity 2)  2 Cl 2.20
Cl 0.0000 0.0000 0.2579 (multiplicity 4)  1 Rh 2.20, 1 Zr 2.35
Cl 0.2292 0.2292 0.0000 (multiplicity 8)  1 Zr 2.56

Properties
* size of the total moment: 2.0 Bohr magnetons per cell
* energy: -0.31079 Ry per atom
* theoretical density: 3.39 Mg/m³

---

No. 2
Material: Y2MnRu
Method: DFT, PBE-GGA
State: optimized geometry

a b c (Å): 3.4129 4.7833 10.5177
angles (deg): 90.00 90.00 90.00
Last column: nearest neighbours and their distance in Å.
Space group Imm2 (No. 44)
Asymmetric unit:
Y 0.0000 0.0000 0.0000 (multiplicity 2)  4 Ru 2.96, 2 Mn 3.24, 2 Y 3.29
Y 0.0000 0.5000 0.2142 (multiplicity 2)  4 Mn 3.05, 2 Ru 3.09, 4 Y 3.29-3.41
Mn 0.0000 0.5000 0.7927 (multiplicity 2)  2 Ru 2.52
Ru 0.0000 0.0000 0.4692 (multiplicity 2)  2 Mn 2.52

Properties
* size of the total moment: 6.1 Bohr magnetons per cell
* energy: -0.57991 Ry per atom
* theoretical density: 6.46 Mg/m³
* ΔE_f: -0.047 eV/atom